1.
Pr4TeIr: relaxed, PBE.

Properties
total magnetization	0.00	Bohr magnetons per cell
total energy	-5.840	eV/atom
density	7.9	g cm⁻³

a = 9.2160 Å, b = 14.2687 Å, c = 6.2824 Å
α = 90.00°, β = 116.41°, γ = 90.00°
Space group C2/c (No. 15)
Inequivalent atoms, fractional coordinates:
Pr: 0.1132 0.1827 0.0780 [8 per cell]
Pr: 0.2230 0.4314 0.3202 [8 per cell]
Te: 0.0000 0.3764 0.7500 [4 per cell]
Ir: 0.0000 0.0014 0.2500 [4 per cell]

2.
Rb3Na3CrCl8: relaxed, PBE.

Properties
total magnetization	12.00	Bohr magnetons per cell
total energy	-3.737	eV/atom
density	2.4	g cm⁻³

a = 8.3525 Å, b = 8.3525 Å, c = 22.3957 Å
α = 90.00°, β = 90.00°, γ = 120.00°
Space group R-3m (No. 166, hexagonal axes)
Inequivalent atoms, fractional coordinates:
Rb: 0.0000 0.5000 0.0000 [9 per cell]
Na: 0.0000 0.5000 0.5000 [9 per cell]
Cr: 0.0000 0.0000 0.5000 [3 per cell]
Cl: 0.0000 0.0000 0.2358 [6 per cell]
Cl: 0.0366 0.5183 0.2298 [18 per cell]

3.
SmDy4In4: relaxed, PBE.

Properties
total magnetization	0.00	Bohr magnetons per cell
E_form	-156	meV/atom
total energy	-3.943	eV/atom
density	7.6	g cm⁻³

a = 7.2319 Å, b = 7.2319 Å, c = 10.5904 Å
α = 90.00°, β = 90.00°, γ = 90.00°
Space group P4_2/nmc (No. 137, origin choice 2)
Inequivalent atoms, fractional coordinates:
Sm: 0.2500 0.7500 0.2500 [2 per cell]
Dy: 0.0197 0.2500 0.1637 [8 per cell]
In: 0.0338 0.2500 0.4621 [8 per cell]

4.
TlBr2: relaxed, PBE.

Properties
total magnetization	0.00	Bohr magnetons per cell
total energy	-2.209	eV/atom
density	5.9	g cm⁻³

a = 5.3337 Å, b = 5.3337 Å, c = 4.1549 Å
α = 90.00°, β = 90.00°, γ = 120.00°
Space group P6/mmm (No. 191)
Inequivalent atoms, fractional coordinates:
Tl: 0.0000 0.0000 0.0000 [1 per cell]
Br: 0.3333 0.6667 0.5000 [2 per cell]

5.
Cs2IrSe: relaxed, PBE.

Properties
total magnetization	0.01	Bohr magnetons per cell
total energy	-3.643	eV/atom
density	4.6	g cm⁻³
energy above the lowest structure with this stoichiometry	0.0000	eV/atom

a = 12.8361 Å, b = 12.8361 Å, c = 4.6624 Å
α = 90.00°, β = 90.00°, γ = 90.00°
Space group I-42d (No. 122)
Inequivalent atoms, fractional coordinates:
Cs: 0.0816 0.7500 0.1250 [8 per cell]
Ir: 0.0000 0.0000 0.0000 [4 per cell]
Se: 0.0000 0.0000 0.5000 [4 per cell]

6.
Pu3Bi3H2: relaxed, PBE.

Properties
total magnetization	16.50	Bohr magnetons per cell
total energy	-8.012	eV/atom
density	12.6	g cm⁻³

a = 3.6852 Å, b = 5.7005 Å, c = 8.7319 Å
α = 88.55°, β = 77.90°, γ = 89.94°
Space group P-1 (No. 2)
Inequivalent atoms, fractional coordinates:
Pu: 0.0000 0.0000 0.0000 [1 per cell]
Pu: 0.1652 0.3858 0.6708 [2 per cell]
Bi: 0.3403 0.1140 0.3190 [2 per cell]
Bi: 0.5000 0.5000 0.0000 [1 per cell]
H: 0.2683 0.6104 0.4632 [2 per cell]

7.
Pa2ReO: relaxed, PBE.

Properties
total magnetization	0.00	Bohr magnetons per cell
total energy	-10.005	eV/atom
density	16.0	g cm⁻³
energy above the lowest structure with this stoichiometry	0.0000	eV/atom

a = 3.0758 Å, b = 3.0758 Å, c = 7.3026 Å
α = 90.00°, β = 90.00°, γ = 90.00°
Space group P4/mmm (No. 123)
Inequivalent atoms, fractional coordinates:
Pa: 0.0000 0.0000 0.2273 [2 per cell]
Re: 0.5000 0.5000 0.5000 [1 per cell]
O: 0.5000 0.5000 0.0000 [1 per cell]